Entry one
KHgIBr2 after structural relaxation. Source: Alexandria via LeMat-Bulk, functional PBE.

abc: 5.6486 5.6486 5.9674
angles: 90.00 90.00 90.00
Last column: nearest neighbours and their distance in Å.
Space group P4/mmm (No. 123)
One atom of each set of equivalent atoms:
1 K 0.0000 0.0000 0.0000 x1  4 I 3.99, 8 Br 4.11
2 Hg 0.5000 0.5000 0.5000 x1  4 Br 2.82, 2 I 2.98
3 I 0.5000 0.5000 0.0000 x1  2 Hg 2.98
4 Br 0.0000 0.5000 0.5000 x2  2 Hg 2.82

ρ = 4.59 g/cm3
DOS at the Fermi energy = 0.10 states/eV per atom

***

Entry two
KHgIBr2 after structural relaxation. Source: Alexandria via LeMat-Bulk, functional PBE.

abc: 7.9321 6.4014 8.7310
angles: 90.00 95.85 90.00
Last column: nearest neighbours and their distance in Å.
Space group P2_1/m (No. 11)
One atom of each set of equivalent atoms:
1 K 0.2472 0.2500 0.1357 x2  4 Br 3.38-3.43, 1 I 3.66
2 Hg 0.1044 0.2500 0.6542 x2  2 Br 2.63-2.71, 1 I 2.72
3 I 0.4364 0.2500 0.7704 x2  1 Hg 2.72
4 Br 0.0599 0.7500 0.6233 x2  1 Hg 2.63
5 Br 0.1088 0.7500 0.1225 x2  1 Hg 2.71

ρ = 3.96 g/cm3
DOS at the Fermi energy = 0.00 states/eV per atom

***

Pick entry two: it beats the second-best structure by 96 meV per atom.

***

Entry one
HgIBrN2 after structural relaxation. Source: Alexandria via LeMat-Bulk, functional PBE.

abc: 4.3609 4.3609 7.6462
angles: 90.00 90.00 90.00
Last column: nearest neighbours and their distance in Å.
Space group P4/mmm (No. 123)
One atom of each set of equivalent atoms:
1 Hg 0.0000 0.0000 0.0000 x1  4 N 2.18
2 I 0.0000 0.0000 0.5000 x1  4 Br 3.08
3 Br 0.5000 0.5000 0.5000 x1  4 I 3.08
4 N 0.0000 0.5000 0.0000 x2  2 Hg 2.18

ρ = 4.97 g/cm3
DOS at the Fermi energy = 0.54 states/eV per atom

***

Entry two
HgIBrN2 after structural relaxation. Source: Alexandria via LeMat-Bulk, functional PBE.

abc: 4.2718 4.2718 8.3380
angles: 90.00 90.00 90.00
Last column: nearest neighbours and their distance in Å.
Space group P4/mmm (No. 123)
One atom of each set of equivalent atoms:
1 Hg 0.0000 0.0000 0.0000 x1  4 I 3.02
2 I 0.5000 0.5000 0.0000 x1  4 Hg 3.02
3 Br 0.5000 0.5000 0.5000 x1  4 N 2.14
4 N 0.0000 0.5000 0.5000 x2  2 Br 2.14

ρ = 4.75 g/cm3
DOS at the Fermi energy = 0.66 states/eV per atom

***

Pick entry one: it beats the second-best structure by 102 meV per atom.

***

Entry one
HgIBrO2 after structural relaxation. Source: Alexandria via LeMat-Bulk, functional PBE.

abc: 4.0705 4.0705 7.5713
angles: 90.00 90.00 90.00
Last column: nearest neighbours and their distance in Å.
Space group P4/mmm (No. 123)
One atom of each set of equivalent atoms:
1 Hg 0.0000 0.0000 0.0000 x1  4 I 2.88
2 I 0.5000 0.5000 0.0000 x1  4 Hg 2.88
3 Br 0.5000 0.5000 0.5000 x1  4 O 2.04
4 O 0.0000 0.5000 0.5000 x2  2 Br 2.04

ρ = 5.82 g/cm3
DOS at the Fermi energy = 0.41 states/eV per atom

***

Entry two
HgIBrO2 after structural relaxation. Source: Alexandria via LeMat-Bulk, functional PBE.

abc: 4.2293 4.2293 7.7879
angles: 90.00 90.00 90.00
Last column: nearest neighbours and their distance in Å.
Space group P4/mmm (No. 123)
One atom of each set of equivalent atoms:
1 Hg 0.0000 0.0000 0.0000 x1  4 O 2.11
2 I 0.0000 0.0000 0.5000 x1  4 Br 2.99
3 Br 0.5000 0.5000 0.5000 x1  4 I 2.99
4 O 0.0000 0.5000 0.0000 x2  2 Hg 2.11

ρ = 5.24 g/cm3
DOS at the Fermi energy = 1.05 states/eV per atom

***

Pick entry one: it beats the second-best structure by 24 meV per atom.

***

Entry one
RbHgIBr2 after structural relaxation. Source: Alexandria via LeMat-Bulk, functional PBE.

abc: 8.0783 6.5429 8.8459
angles: 90.00 100.03 90.00
Last column: nearest neighbours and their distance in Å.
Space group P2_1/m (No. 11)
One atom of each set of equivalent atoms:
1 Rb 0.2292 0.2500 0.3426 x2  4 Br 3.54-3.60, 1 I 3.90
2 Hg 0.4019 0.2500 0.8442 x2  2 Br 2.63-2.67, 1 I 2.73
3 I 0.0646 0.2500 0.7317 x2  1 Hg 2.73
4 Br 0.3990 0.7500 0.3673 x2  1 Hg 2.67
5 Br 0.4366 0.7500 0.8709 x2  1 Hg 2.63

ρ = 4.13 g/cm3
DOS at the Fermi energy = 0.00 states/eV per atom

***

Entry two
RbHgIBr2 after structural relaxation. Source: Alexandria via LeMat-Bulk, functional PBE.

abc: 5.6908 5.6908 5.9665
angles: 90.00 90.00 90.00
Last column: nearest neighbours and their distance in Å.
Space group P4/mmm (No. 123)
One atom of each set of equivalent atoms:
1 Rb 0.0000 0.0000 0.0000 x1  4 I 4.02, 8 Br 4.12
2 Hg 0.5000 0.5000 0.5000 x1  4 Br 2.85, 2 I 2.98
3 I 0.5000 0.5000 0.0000 x1  2 Hg 2.98
4 Br 0.0000 0.5000 0.5000 x2  2 Hg 2.85

ρ = 4.92 g/cm3
DOS at the Fermi energy = 0.09 states/eV per atom

***

Pick entry one: it beats the second-best structure by 76 meV per atom.

***

Entry one
HgSb2IBr after structural relaxation. Source: Alexandria via LeMat-Bulk, functional PBE.

abc: 5.6703 5.6703 5.7980
angles: 90.00 90.00 90.00
Last column: nearest neighbours and their distance in Å.
Space group P4/mmm (No. 123)
One atom of each set of equivalent atoms:
1 Hg 0.0000 0.0000 0.0000 x1  4 Sb 2.84, 2 I 2.90
2 Sb 0.0000 0.5000 0.0000 x2  2 Hg 2.84
3 I 0.0000 0.0000 0.5000 x1  2 Hg 2.90
4 Br 0.5000 0.5000 0.5000 x1  4 I 4.01, 8 Sb 4.05

ρ = 5.80 g/cm3
DOS at the Fermi energy = 0.79 states/eV per atom

***

Entry two
HgSb2IBr after structural relaxation. Source: Alexandria via LeMat-Bulk, functional PBE.

abc: 5.5614 5.5614 7.5121
angles: 90.00 90.00 90.00
Last column: nearest neighbours and their distance in Å.
Space group P4/mmm (No. 123)
One atom of each set of equivalent atoms:
1 Hg 0.0000 0.0000 0.0000 x1  4 I 3.93
2 Sb 0.0000 0.5000 0.5000 x2  2 Br 2.78
3 I 0.5000 0.5000 0.0000 x1  2 Br 3.76, 4 Hg 3.93
4 Br 0.5000 0.5000 0.5000 x1  4 Sb 2.78

ρ = 4.65 g/cm3
DOS at the Fermi energy = 1.20 states/eV per atom

***

Pick entry one: it beats the second-best structure by 149 meV per atom.

***

Entry one
HgTe2IBr after structural relaxation. Source: Alexandria via LeMat-Bulk, functional PBE.

abc: 5.7039 5.7039 5.9092
angles: 90.00 90.00 90.00
Last column: nearest neighbours and their distance in Å.
Space group P4/mmm (No. 123)
One atom of each set of equivalent atoms:
1 Hg 0.0000 0.0000 0.0000 x1  4 I 4.03, 8 Te 4.11
2 Te 0.0000 0.5000 0.5000 x2  2 Br 2.85
3 I 0.5000 0.5000 0.0000 x1  2 Br 2.95
4 Br 0.5000 0.5000 0.5000 x1  4 Te 2.85, 2 I 2.95

ρ = 5.72 g/cm3
DOS at the Fermi energy = 1.43 states/eV per atom

***

Entry two
HgTe2IBr after structural relaxation. Source: Alexandria via LeMat-Bulk, functional PBE.

abc: 5.7095 5.7095 5.7483
angles: 90.00 90.00 90.00
Last column: nearest neighbours and their distance in Å.
Space group P4/mmm (No. 123)
One atom of each set of equivalent atoms:
1 Hg 0.0000 0.0000 0.0000 x1  4 Te 2.85, 2 I 2.87
2 Te 0.0000 0.5000 0.0000 x2  2 Hg 2.85
3 I 0.0000 0.0000 0.5000 x1  2 Hg 2.87
4 Br 0.5000 0.5000 0.5000 x1  4 I 4.04, 8 Te 4.05

ρ = 5.87 g/cm3
DOS at the Fermi energy = 1.33 states/eV per atom

***

Pick entry two: it beats the second-best structure by 107 meV per atom.

***

Entry one
InHg2Br after structural relaxation. Source: Alexandria via LeMat-Bulk, functional PBE.

abc: 3.9419 3.9419 8.4989
angles: 90.00 90.00 90.00
Last column: nearest neighbours and their distance in Å.
Space group P4mm (No. 99)
One atom of each set of equivalent atoms:
1 In 0.0000 0.0000 0.0000 x1  4 Br 3.16
2 Hg 0.0000 0.0000 0.4968 x1  4 Hg 3.38
3 Hg 0.5000 0.5000 0.7225 x1  4 Hg 3.38, 4 In 3.65
4 Br 0.5000 0.5000 0.1750 x1  4 In 3.16

ρ = 7.49 g/cm3

***

Entry two
InHg2Br after structural relaxation. Source: Alexandria via LeMat-Bulk, functional PBE.

abc: 4.6236 4.6475 11.9457
angles: 90.00 101.13 90.00
Last column: nearest neighbours and their distance in Å.
Space group P2_1/m (No. 11)
One atom of each set of equivalent atoms:
1 In 0.1740 0.2500 0.3473 x2  5 Br 3.04-3.32
2 Hg 0.0605 0.7500 0.1184 x2  8 Hg 3.28-3.63, 2 In 3.55
3 Hg 0.4392 0.7500 0.8807 x2  8 Hg 3.28-3.64, 2 In 3.53-3.54
4 Br 0.3029 0.2500 0.6063 x2  5 In 3.04-3.32

ρ = 7.86 g/cm3
DOS at the Fermi energy = 0.08 states/eV per atom

***

Entry three
InHg2Br after structural relaxation. Source: Alexandria via LeMat-Bulk, functional PBE.

abc: 7.8918 7.8918 7.8918
angles: 90.00 90.00 90.00
Last column: nearest neighbours and their distance in Å.
Space group Fm-3m (No. 225)
One atom of each set of equivalent atoms:
1 In 0.0000 0.0000 0.0000 x4  8 Hg 3.42
2 Hg 0.2500 0.2500 0.2500 x8  4 In 3.42, 4 Br 3.42
3 Br 0.0000 0.0000 0.5000 x4  8 Hg 3.42

ρ = 8.05 g/cm3
DOS at the Fermi energy = 0.00 states/eV per atom

***

Pick entry two: it beats the second-best structure by 38 meV per atom.

***

Entry one
In6Hg12Br after structural relaxation. Source: Alexandria via LeMat-Bulk, functional PBE.

abc: 13.8991 13.8991 9.7169
angles: 90.00 90.00 120.00
Last column: nearest neighbours and their distance in Å.
Space group R-3m (No. 166, hexagonal axes)
One atom of each set of equivalent atoms:
1 In 0.0590 0.5295 0.2234 x18  8 Hg 3.09-3.32
2 Hg 0.0000 0.3898 0.5000 x18  3 Hg 3.06-3.24, 4 In 3.09-3.17
3 Hg 0.0778 0.1556 0.2720 x18  4 In 3.11-3.32, 1 Br 3.24, 4 Hg 3.24
4 Br 0.0000 0.0000 0.0000 x3  6 Hg 3.24

ρ = 9.73 g/cm3
DOS at the Fermi energy = 0.34 states/eV per atom

***

Entry two
In6Hg12Br after structural relaxation. Source: Alexandria via LeMat-Bulk, functional PBE.

abc: 7.8118 9.0221 9.1320
angles: 105.70 111.12 102.96
Last column: nearest neighbours and their distance in Å.
Space group P-1 (No. 2)
One atom of each set of equivalent atoms:
1 In 0.0074 0.3907 0.1475 x2  5 Hg 3.06-3.31, 1 Br 3.13, 1 In 3.43
2 In 0.1077 0.1942 0.5255 x2  5 Hg 3.07-3.26, 1 Br 3.10, 1 In 3.35
3 In 0.3464 0.2092 0.2693 x2  7 Hg 3.08-3.42, 1 In 3.43
4 Hg 0.1085 0.9935 0.8753 x2  4 In 3.15-3.31, 6 Hg 3.25-3.39
5 Hg 0.2004 0.8133 0.2470 x2  5 Hg 3.11-3.33, 2 In 3.14-3.42
6 Hg 0.2732 0.3896 0.9152 x2  3 In 3.12-3.46, 6 Hg 3.18-3.43
7 Hg 0.3598 0.9680 0.6398 x2  3 In 3.08-3.26, 4 Hg 3.11-3.39
8 Hg 0.4248 0.7920 0.9558 x2  2 In 3.06-3.17, 5 Hg 3.23-3.43
9 Hg 0.4606 0.5878 0.3314 x2  4 In 3.07-3.18, 2 Hg 3.23-3.31
10 Br 0.0000 0.5000 0.5000 x1  4 In 3.10-3.13

ρ = 9.77 g/cm3
DOS at the Fermi energy = 0.28 states/eV per atom

***

Pick entry two: it beats the second-best structure by 39 meV per atom.

***

Entry one
InHgBr4 after structural relaxation. Source: Alexandria via LeMat-Bulk, functional PBE.

abc: 15.4055 4.0735 7.9109
angles: 90.00 120.08 90.00
Last column: nearest neighbours and their distance in Å.
Space group C2/m (No. 12)
One atom of each set of equivalent atoms:
1 In 0.0000 0.0000 0.0000 x2  6 Br 2.65-2.80
2 Hg 0.0000 0.5000 0.5000 x2  6 Br 3.11-3.32
3 Br 0.1142 0.0000 0.3855 x4  1 In 2.65
4 Br 0.1204 0.5000 0.9843 x4  2 In 2.80

ρ = 4.91 g/cm3
DOS at the Fermi energy = 0.75 states/eV per atom

***

Entry two
InHgBr4 after structural relaxation. Source: Alexandria via LeMat-Bulk, functional PBE.

abc: 9.1596 9.1596 9.1596
angles: 90.00 90.00 90.00
Last column: nearest neighbours and their distance in Å.
Space group F-43m (No. 216)
One atom of each set of equivalent atoms:
1 In 0.0000 0.0000 0.0000 x4  12 Br 3.80, 4 Hg 3.97
2 Hg 0.2500 0.2500 0.2500 x4  12 Br 3.80, 4 In 3.97
3 Br 0.1245 0.1245 0.6245 x16  6 Br 3.22-3.25

ρ = 5.49 g/cm3
DOS at the Fermi energy = 1.35 states/eV per atom

***

Pick entry one: it beats the second-best structure by 686 meV per atom.

***

Entry one
In2Hg2Br after structural relaxation. Source: Alexandria via LeMat-Bulk, functional PBE.

abc: 7.0178 3.6454 11.5464
angles: 90.00 91.49 90.00
Last column: nearest neighbours and their distance in Å.
Space group P2_1/m (No. 11)
One atom of each set of equivalent atoms:
1 In 0.0619 0.2500 0.2239 x2  3 Hg 3.13-3.28, 2 Br 3.18
2 In 0.3833 0.2500 0.8200 x2  3 Br 3.09-3.21, 3 Hg 3.24-3.25
3 Hg 0.1405 0.2500 0.5773 x2  3 Hg 3.09-3.20, 3 In 3.24-3.28
4 Hg 0.4315 0.2500 0.3812 x2  3 Hg 3.09-3.41, 3 In 3.13-3.25
5 Br 0.2455 0.7500 0.0307 x2  5 In 3.09-3.21

ρ = 7.99 g/cm3
DOS at the Fermi energy = 0.24 states/eV per atom

***

Entry two
In2Hg2Br after structural relaxation. Source: Alexandria via LeMat-Bulk, functional PBE.

abc: 8.6191 8.6191 4.0288
angles: 90.00 90.00 90.00
Last column: nearest neighbours and their distance in Å.
Space group P4/mbm (No. 127)
One atom of each set of equivalent atoms:
1 In 0.1796 0.3204 0.0000 x4  6 Hg 3.08-3.37, 2 Br 3.17
2 Hg 0.1294 0.6294 0.5000 x4  6 In 3.08-3.37, 1 Hg 3.15
3 Br 0.0000 0.0000 0.0000 x2  4 In 3.17

ρ = 7.89 g/cm3
DOS at the Fermi energy = 0.28 states/eV per atom

***

Entry three
In2Hg2Br after structural relaxation. Source: Alexandria via LeMat-Bulk, functional PBE.

abc: 8.7646 8.7646 3.7795
angles: 90.00 90.00 90.00
Last column: nearest neighbours and their distance in Å.
Space group P4/mbm (No. 127)
One atom of each set of equivalent atoms:
1 In 0.1785 0.3215 0.0000 x4  6 Hg 3.07-3.31
2 Hg 0.1266 0.6266 0.5000 x4  6 In 3.07-3.31, 1 Hg 3.14
3 Br 0.0000 0.0000 0.5000 x2  4 Hg 3.46, 8 In 3.74, 2 Br 3.78

ρ = 8.13 g/cm3
DOS at the Fermi energy = 0.34 states/eV per atom

***

Entry four
In2Hg2Br after structural relaxation. Source: Alexandria via LeMat-Bulk, functional PBE.

abc: 4.3991 4.3991 15.6925
angles: 90.00 90.00 90.00
Last column: nearest neighbours and their distance in Å.
Space group I4/mmm (No. 139)
One atom of each set of equivalent atoms:
1 In 0.0000 0.0000 0.0966 x4  1 In 3.03, 4 Hg 3.26
2 Hg 0.0000 0.5000 0.2500 x4  4 Hg 3.11, 4 In 3.26
3 Br 0.0000 0.0000 0.5000 x2  8 In 3.46

ρ = 7.77 g/cm3
DOS at the Fermi energy = 0.63 states/eV per atom

***

Pick entry two: it beats the second-best structure by 24 meV per atom.